A plane-wave DFT calculation with PBE was carried out for an optimized crystal structure of LaSmInCo2.

* mass density: 7.74 g/cm3
* total energy: -5.580 eV/atom

Cell: 4.0525 3.9025 14.1692 Å, 90.00 90.00 90.00°
Closest atoms and distances in Å follow each position.
Space group Amm2 (No. 38)
Asymmetric unit:
La: 0.0000 0.0000 0.0000 x2  6 Co 2.99-3.00
Sm: 0.0000 0.0000 0.2727 x2  6 Co 2.99
In: 0.5000 0.0000 0.6381 x2  2 Co 2.92-2.98
Co: 0.5000 0.0000 0.4276 x2  2 Co 2.28
Co: 0.5000 0.0000 0.8442 x2  2 Co 2.28

***

A plane-wave DFT calculation with PBE was carried out for an optimized crystal structure of BaSi2SnPd.

* mass density: 6.12 g/cm3
* total energy: -4.870 eV/atom

Cell: 4.6290 4.6290 10.5990 Å, 90.00 90.00 90.00°
Closest atoms and distances in Å follow each position.
Space group I4mm (No. 107)
Asymmetric unit:
Ba: 0.0000 0.0000 0.0000 x2  8 Si 3.46-3.58, 4 Sn 3.47, 5 Pd 3.66
Si: 0.0000 0.5000 0.2428 x4  2 Pd 2.50
Sn: 0.0000 0.0000 0.3909 x2  1 Pd 2.80, 4 Si 2.80
Pd: 0.0000 0.0000 0.6546 x2  4 Si 2.50

***

A plane-wave DFT calculation with PBE was carried out for an optimized crystal structure of Nd4CI2Br3.

* mass density: 5.70 g/cm3
* total energy: -4.950 eV/atom

Cell: 19.0951 4.0075 8.4720 Å, 90.00 103.29 90.00°
Closest atoms and distances in Å follow each position.
Space group C2/m (No. 12)
Asymmetric unit:
Nd: 0.0003 0.0000 0.2057 x4  2 C 2.65
Nd: 0.1360 0.5000 0.0739 x4  1 C 2.53
C: 0.0000 0.5000 0.0000 x2  6 Nd 2.53-2.65
I: 0.1706 0.0000 0.8099 x4  3 Nd 3.18-3.24
Br: 0.0000 0.5000 0.5000 x2  4 Nd 3.20
Br: 0.1596 0.0000 0.3399 x4  3 Nd 2.97-2.99

***

A plane-wave DFT calculation with PBE was carried out for an optimized crystal structure of PmCuB4.

* mass density: 6.79 g/cm3
* total energy: -5.876 eV/atom

Cell: 3.2292 3.2292 6.8167 Å, 90.00 90.00 120.00°
Closest atoms and distances in Å follow each position.
Space group P6/mmm (No. 191)
Asymmetric unit:
Pm: 0.0000 0.0000 0.0000 x1  12 B 2.73
Cu: 0.0000 0.0000 0.5000 x1  12 B 2.34
B: 0.3333 0.6667 0.2930 x4  3 B 1.86

***

A plane-wave DFT calculation with PBE was carried out for an optimized crystal structure of In2Au2O5.

* mass density: 8.87 g/cm3
* total energy: -4.369 eV/atom

Cell: 3.9165 3.9165 8.5852 Å, 90.00 90.00 90.00°
Closest atoms and distances in Å follow each position.
Space group P4/mmm (No. 123)
Asymmetric unit:
In: 0.0000 0.0000 0.0000 x1  8 O 2.35
In: 0.0000 0.0000 0.5000 x1  4 O 2.77
Au: 0.5000 0.5000 0.2280 x2  4 O 2.06
O: 0.0000 0.5000 0.1518 x4  2 Au 2.06
O: 0.5000 0.5000 0.5000 x1  2 Au 2.34

***

A plane-wave DFT calculation with PBE was carried out for an optimized crystal structure of PrGe3AsPd6.

* mass density: 9.40 g/cm3
* total energy: -5.588 eV/atom

Cell: 7.3353 7.3353 4.0641 Å, 90.00 90.00 120.00°
Closest atoms and distances in Å follow each position.
Space group P-6m2 (No. 187)
Asymmetric unit:
Pr: 0.0000 0.0000 0.0000 x1  6 Ge 3.19, 6 Pd 3.24
Ge: 0.3873 0.1936 0.5000 x3  6 Pd 2.50-2.66
As: 0.3333 0.6667 0.0000 x1  9 Pd 2.57-2.65
Pd: 0.1991 0.3981 0.5000 x3  2 Ge 2.50, 2 As 2.65
Pd: 0.5359 0.0718 0.0000 x3  1 As 2.57, 4 Ge 2.66, 2 Pd 2.88

***

A plane-wave DFT calculation with PBE was carried out for an optimized crystal structure of Zr5Ge.

* mass density: 6.72 g/cm3
* total energy: -8.062 eV/atom

Cell: 5.4900 5.4900 5.0081 Å, 90.00 90.00 120.00°
Closest atoms and distances in Å follow each position.
Space group P-62m (No. 189)
Asymmetric unit:
Zr: 0.0000 0.3135 0.0000 x3  10 Zr 2.98-3.27, 2 Ge 3.04
Zr: 0.3333 0.6667 0.5000 x2  9 Zr 3.14-3.17, 3 Ge 3.17
Ge: 0.0000 0.0000 0.5000 x1  12 Zr 3.04-3.17

***

A plane-wave DFT calculation with PBE was carried out for an optimized crystal structure of NdAgPO.

* mass density: 5.63 g/cm3
* total energy: -5.672 eV/atom

Cell: 3.8632 7.6821 5.9466 Å, 90.00 90.00 90.00°
Closest atoms and distances in Å follow each position.
Space group Pmc2_1 (No. 26)
Asymmetric unit:
Nd: 0.0000 0.2211 0.0000 x2  2 O 2.21
Ag: 0.5000 0.3482 0.5054 x2  1 O 2.24, 2 P 2.43
P: 0.0000 0.1561 0.4995 x2  2 Ag 2.43
O: 0.5000 0.3599 0.9968 x2  2 Nd 2.21, 1 Ag 2.24

***

A plane-wave DFT calculation with PBE was carried out for an optimized crystal structure of NpTaB.

* mass density: 14.49 g/cm3
* total energy: -9.999 eV/atom

Cell: 5.8145 5.8145 5.8145 Å, 90.00 90.00 90.00°
Closest atoms and distances in Å follow each position.
Space group F-43m (No. 216)
Asymmetric unit:
Np: 0.0000 0.0000 0.0000 x4  4 B 2.52
Ta: 0.0000 0.0000 0.5000 x4  4 B 2.52
B: 0.2500 0.2500 0.2500 x4  4 Ta 2.52, 4 Np 2.52

***

A plane-wave DFT calculation with PBE was carried out for an optimized crystal structure of Pa.

* mass density: 15.61 g/cm3
* formation enthalpy at 0 K: 0.048 eV/atom

Cell: 11.2539 11.2539 11.2539 Å, 90.00 90.00 90.00°
Closest atoms and distances in Å follow each position.
Space group I-43m (No. 217)
Asymmetric unit:
Pa: 0.0000 0.0000 0.0000 x2  16 Pa 3.46-3.59
Pa: 0.0303 0.3538 0.3538 x24  4 Pa 2.96-3.27
Pa: 0.0911 0.0911 0.2789 x24  6 Pa 2.90-3.15
Pa: 0.1840 0.1840 0.8160 x8  16 Pa 3.27-3.62

***

A plane-wave DFT calculation with PBE was carried out for an optimized crystal structure of Ag2Sn3Ge2.

* mass density: 7.00 g/cm3
* total energy: -3.625 eV/atom

Cell: 4.9265 4.9265 24.2736 Å, 90.00 90.00 120.00°
Closest atoms and distances in Å follow each position.
Space group R3m (No. 160, hexagonal axes)
Asymmetric unit:
Ag: 0.0000 0.0000 0.0000 x3  6 Sn 2.97-3.10
Ag: 0.0000 0.0000 0.4873 x3  5 Sn 2.87-3.12
Sn: 0.0000 0.0000 0.3690 x3  4 Ag 2.87-2.97, 3 Ge 2.99
Sn: 0.0000 0.0000 0.6158 x3  4 Ge 3.02-3.06, 4 Ag 3.10-3.12
Sn: 0.0000 0.0000 0.8583 x3  4 Ge 2.86-3.04, 3 Ag 2.99
Ge: 0.0000 0.0000 0.2360 x3  7 Sn 3.04-3.23
Ge: 0.0000 0.0000 0.7404 x3  5 Sn 2.86-3.02

***

A plane-wave DFT calculation with PBE was carried out for an optimized crystal structure of TaCuIrPb.

* mass density: 15.43 g/cm3
* total energy: -6.783 eV/atom

Cell: 6.5205 6.5205 6.5205 Å, 90.00 90.00 90.00°
Closest atoms and distances in Å follow each position.
Space group F-43m (No. 216)
Asymmetric unit:
Ta: 0.0000 0.0000 0.0000 x4  4 Ir 2.82, 4 Cu 2.82
Cu: 0.2500 0.2500 0.7500 x4  4 Ta 2.82, 4 Pb 2.82
Ir: 0.2500 0.2500 0.2500 x4  4 Ta 2.82, 4 Pb 2.82
Pb: 0.0000 0.0000 0.5000 x4  4 Cu 2.82, 4 Ir 2.82